An optimized crystal structure of Pm, computed with PBEsol.

Unit cell a=3.5804 b=3.5804 c=11.5572 alpha=90.00 beta=90.00 gamma=120.00
Space group P6_3/mmc (No. 194)
Asymmetric unit:
Pm  0.0000  0.0000  0.0000
Pm  0.3333  0.6667  0.2500

Calculated values
- Offset from the most stable computed form: 0.000 eV per atom
- Formation energy: 0.00 eV per atom
- Magnetic moment: 0.0 μB per formula unit
- V: 32.1 Å³ per atom

An optimized crystal structure of PmPr3, computed with PBEsol.

Unit cell a=5.1143 b=5.1143 c=10.2198 alpha=90.00 beta=90.00 gamma=90.00
Space group I4/mmm (No. 139)
Asymmetric unit:
Pm  0.0000  0.0000  0.0000
Pr  0.0000  0.0000  0.5000
Pr  0.0000  0.5000  0.2500

Calculated values
- Formation energy: 0.01 eV per atom
- Magnetic moment: 0.0 μB per formula unit
- V: 33.4 Å³ per atom

Calculated N(E_F), 4.969 12.716 states/eV per cell (same order as the records).
Calculated E, -20.547 -41.326 eV per cell (same order as the records).